# 1
# Tb2Sm2ZnRh4, relaxed, DFT GGA-PBE
data_Tb2Sm2ZnRh4
_chemical_formula_sum 'Tb2 Sm2 Zn1 Rh4'
_cell_length_a 6.3871
_cell_length_b 6.3871
_cell_length_c 6.3871
_cell_angle_alpha 116.34
_cell_angle_beta 116.34
_cell_angle_gamma 96.47
_symmetry_space_group_name_H-M 'P 1'
_symmetry_Int_Tables_number 1
_symmetry_space_group_name_Hall 'P 1'
loop_
_atom_site_label
_atom_site_type_symbol
_atom_site_fract_x
_atom_site_fract_y
_atom_site_fract_z
Tb1 Tb 0.2500 0.7500 0.5000
Tb2 Tb 0.7500 0.2500 0.5000
Sm1 Sm 0.1891 0.1891 0.0000
Sm2 Sm 0.8109 0.8109 0.0000
Zn1 Zn 0.5000 0.5000 0.0000
Rh1 Rh 0.2410 0.2410 0.4821
Rh2 Rh 0.2410 0.7590 0.0000
Rh3 Rh 0.7590 0.2410 0.0000
Rh4 Rh 0.7590 0.7590 0.5179
# N(E_F)	6.08	states/eV/cell
# calculated total energy	-0.2164	hartree per atom
# space group	I4/mmm, No. 139
# ΔE_f	-0.401	eV/atom


# 2
# Sm8TcRh2, relaxed, DFT GGA-PBE
data_Sm8TcRh2
_chemical_formula_sum 'Sm8 Tc1 Rh2'
_cell_length_a 7.7263
_cell_length_b 7.7263
_cell_length_c 6.0458
_cell_angle_alpha 100.86
_cell_angle_beta 100.86
_cell_angle_gamma 114.79
_symmetry_space_group_name_H-M 'P 1'
_symmetry_Int_Tables_number 1
_symmetry_space_group_name_Hall 'P 1'
loop_
_atom_site_label
_atom_site_type_symbol
_atom_site_fract_x
_atom_site_fract_y
_atom_site_fract_z
Sm1 Sm 0.0000 0.0000 0.0000
Sm2 Sm 0.0186 0.2723 0.5750
Sm3 Sm 0.1391 0.5590 0.1791
Sm4 Sm 0.2723 0.0186 0.5750
Sm5 Sm 0.4391 0.6902 0.7716
Sm6 Sm 0.5590 0.1391 0.1791
Sm7 Sm 0.6902 0.4391 0.7716
Sm8 Sm 0.7169 0.7169 0.3640
Tc1 Tc 0.3636 0.3636 0.2691
Rh1 Rh 0.0552 0.6654 0.6847
Rh2 Rh 0.6654 0.0552 0.6847
# N(E_F)	8.83	states/eV/cell
# calculated total energy	-0.2180	hartree per atom
# space group	Cm, No. 8
# ΔE_f	-0.220	eV/atom


# 3
# Sm5Te4Rh, relaxed, DFT GGA-PBE
data_Sm5Te4Rh
_chemical_formula_sum 'Sm5 Te4 Rh1'
_cell_length_a 7.6230
_cell_length_b 7.6230
_cell_length_c 7.6230
_cell_angle_alpha 99.77
_cell_angle_beta 99.77
_cell_angle_gamma 131.35
_symmetry_space_group_name_H-M 'P 1'
_symmetry_Int_Tables_number 1
_symmetry_space_group_name_Hall 'P 1'
loop_
_atom_site_label
_atom_site_type_symbol
_atom_site_fract_x
_atom_site_fract_y
_atom_site_fract_z
Sm1 Sm 0.0000 0.0000 0.0000
Sm2 Sm 0.2347 0.5947 0.8295
Sm3 Sm 0.4053 0.2347 0.6400
Sm4 Sm 0.5947 0.7653 0.3600
Sm5 Sm 0.7653 0.4053 0.1705
Te1 Te 0.0875 0.3086 0.3960
Te2 Te 0.3086 0.9125 0.2211
Te3 Te 0.6914 0.0875 0.7789
Te4 Te 0.9125 0.6914 0.6040
Rh1 Rh 0.5000 0.5000 0.0000
# N(E_F)	9.77	states/eV/cell
# calculated total energy	-0.2056	hartree per atom
# space group	I4/m, No. 87
# formation energy (no corrections)	-1.243	eV per atom


# 4
# Sm4TeRh, relaxed, DFT GGA-PBE
data_Sm4TeRh
_chemical_formula_sum 'Sm8 Te2 Rh2'
_cell_length_a 9.9818
_cell_length_b 9.9818
_cell_length_c 9.7557
_cell_angle_alpha 113.51
_cell_angle_beta 113.51
_cell_angle_gamma 32.19
_symmetry_space_group_name_H-M 'P 1'
_symmetry_Int_Tables_number 1
_symmetry_space_group_name_Hall 'P 1'
loop_
_atom_site_label
_atom_site_type_symbol
_atom_site_fract_x
_atom_site_fract_y
_atom_site_fract_z
Sm1 Sm 0.0276 0.0276 0.2108
Sm2 Sm 0.2008 0.2008 0.8963
Sm3 Sm 0.2515 0.2515 0.3270
Sm4 Sm 0.4002 0.4002 0.9780
Sm5 Sm 0.5998 0.5998 0.0220
Sm6 Sm 0.7485 0.7485 0.6730
Sm7 Sm 0.7992 0.7992 0.1037
Sm8 Sm 0.9724 0.9724 0.7892
Te1 Te 0.1654 0.1654 0.5465
Te2 Te 0.8346 0.8346 0.4535
Rh1 Rh 0.1157 0.1157 0.0590
Rh2 Rh 0.8843 0.8843 0.9410
# N(E_F)	11.45	states/eV/cell
# calculated total energy	-0.1974	hartree per atom
# space group	C2/m, No. 12
# formation energy (no corrections)	-0.477	eV per atom


# 5
# Sm2TeRh, relaxed, DFT GGA-PBE
data_Sm2TeRh
_chemical_formula_sum 'Sm2 Te1 Rh1'
_cell_length_a 7.8029
_cell_length_b 7.8029
_cell_length_c 7.8029
_cell_angle_alpha 31.04
_cell_angle_beta 31.04
_cell_angle_gamma 31.04
_symmetry_space_group_name_H-M 'P 1'
_symmetry_Int_Tables_number 1
_symmetry_space_group_name_Hall 'P 1'
loop_
_atom_site_label
_atom_site_type_symbol
_atom_site_fract_x
_atom_site_fract_y
_atom_site_fract_z
Sm1 Sm 0.2371 0.2371 0.2371
Sm2 Sm 0.7629 0.7629 0.7629
Te1 Te 0.0000 0.0000 0.0000
Rh1 Rh 0.5000 0.5000 0.5000
# N(E_F)	2.68	states/eV/cell
# calculated total energy	-0.2205	hartree per atom
# space group	R-3m, No. 166
# formation energy (no corrections)	-1.017	eV per atom


# 6
# SmTeRh, relaxed, DFT GGA-PBE
data_SmTeRh
_chemical_formula_sum 'Sm1 Te1 Rh1'
_cell_length_a 4.5026
_cell_length_b 4.5026
_cell_length_c 3.9768
_cell_angle_alpha 90.00
_cell_angle_beta 90.00
_cell_angle_gamma 120.00
_symmetry_space_group_name_H-M 'P 1'
_symmetry_Int_Tables_number 1
_symmetry_space_group_name_Hall 'P 1'
loop_
_atom_site_label
_atom_site_type_symbol
_atom_site_fract_x
_atom_site_fract_y
_atom_site_fract_z
Sm1 Sm 0.0000 0.0000 0.0000
Te1 Te 0.6667 0.3333 0.4899
Rh1 Rh 0.3333 0.6667 0.5477
# N(E_F)	1.24	states/eV/cell
# calculated total energy	-0.2242	hartree per atom
# space group	P3m1, No. 156
# formation energy (no corrections)	-1.031	eV per atom